(1)
RbPaRhS4 after structural relaxation. Source: Alexandria, functional PBE.

Cell lengths 6.665, 5.964, 9.048 Å; angles 90.00, 104.57, 90.00 degrees
Space group P2_1/m (No. 11)
Symmetry-distinct sites (fractional):
Rb 0.248 0.250 0.043 (multiplicity 2)
Pa 0.253 0.250 0.544 (multiplicity 2)
Rh 0.238 0.750 0.374 (multiplicity 2)
S 0.021 0.508 0.697 (multiplicity 4)
S 0.450 0.750 0.203 (multiplicity 2)
S 0.459 0.750 0.609 (multiplicity 2)

(2)
Rb2Pa2RhS6 after structural relaxation. Source: Alexandria, functional PBE.

Cell lengths 6.661, 11.721, 8.221 Å; angles 90.00, 104.90, 90.00 degrees
Space group C2/m (No. 12)
Symmetry-distinct sites (fractional):
Rb 0.000 0.161 0.000 (multiplicity 4)
Pa 0.000 0.335 0.500 (multiplicity 4)
Rh 0.000 0.000 0.500 (multiplicity 2)
S 0.229 0.170 0.688 (multiplicity 8)
S 0.234 0.500 0.682 (multiplicity 4)

(3)
Rb2PaRh2S4 after structural relaxation. Source: Alexandria, functional PBE.

Cell lengths 14.577, 3.914, 7.960 Å; angles 90.00, 109.01, 90.00 degrees
Space group C2/m (No. 12)
Symmetry-distinct sites (fractional):
Rb 0.136 0.000 0.065 (multiplicity 4)
Pa 0.000 0.000 0.500 (multiplicity 2)
Rh 0.182 0.500 0.498 (multiplicity 4)
S 0.020 0.500 0.274 (multiplicity 4)
S 0.192 0.000 0.667 (multiplicity 4)

(4)
Rb3Pa3RhS8 after structural relaxation. Source: Alexandria, functional PBE.

Cell lengths 13.672, 7.905, 9.101 Å; angles 90.00, 120.00, 90.00 degrees
Space group C2/m (No. 12)
Symmetry-distinct sites (fractional):
Rb 0.000 0.000 0.000 (multiplicity 2)
Rb 0.250 0.250 0.000 (multiplicity 4)
Pa 0.000 0.500 0.500 (multiplicity 2)
Pa 0.250 0.250 0.500 (multiplicity 4)
Rh 0.000 0.000 0.500 (multiplicity 2)
S 0.021 0.248 0.315 (multiplicity 8)
S 0.226 0.000 0.685 (multiplicity 4)
S 0.232 0.500 0.697 (multiplicity 4)

| no. | total DFT energy (no corrections) (eV/atom) |
| --- | --- |
| 1 | -5.9912 |
| 2 | -6.0958 |
| 3 | -5.8045 |
| 4 | -6.0803 |